Record 1
## CsTeI2F (GGA-PBEsol)

Data for CsTeI2F after structural relaxation.

Output
E = -2.619 eV/atom
Formation energy without anion corrections = -3.2 eV/f.u.
Theoretical density = 3.34 g/cm3
D(E_F) = 2.105 states/eV/atom

a b c (Å): 5.7661 5.7661 7.9785
angles (deg): 90.00 90.00 90.00
Closest atoms and distances in Å follow each position.
Fractional positions:
Cs 0.0000 0.0000 0.5000  2 Te 3.99, 4 F 4.08
I 0.0000 0.5000 0.0000  2 Te 2.88
I 0.5000 0.0000 0.0000  2 Te 2.88
Te 0.0000 0.0000 0.0000  4 I 2.88
F 0.5000 0.5000 0.5000  4 Cs 4.08

---

Record 2
## SrCo4W (GGA-PBEsol)

Data for SrCo4W after structural relaxation.

Output
E = -7.194 eV/atom
Theoretical density = 10.57 g/cm3
D(E_F) = 1.342 states/eV/atom

a b c (Å): 4.8296 4.8296 4.8296
angles (deg): 60.00 60.00 60.00
Closest atoms and distances in Å follow each position.
Fractional positions:
Co 0.3747 0.3747 0.3747  6 Co 2.41-2.42
Co 0.3747 0.3747 0.8758  6 Co 2.41-2.42
Co 0.8758 0.3747 0.3747  6 Co 2.41-2.42
Co 0.3747 0.8758 0.3747  6 Co 2.41-2.42
Sr 0.7500 0.7500 0.7500  12 Co 2.83, 4 W 2.96
W 0.0000 0.0000 0.0000  12 Co 2.83, 4 Sr 2.96

---

Record 3
## PH2Ru (GGA-PBEsol)

Data for PH2Ru after structural relaxation.

Output
E = -5.251 eV/atom
Theoretical density = 5.93 g/cm3
D(E_F) = 0.504 states/eV/atom

a b c (Å): 3.3294 3.3294 7.1669
angles (deg): 103.43 103.43 90.00
Closest atoms and distances in Å follow each position.
Fractional positions:
Ru 0.0000 0.0000 0.0000  4 H 1.89
Ru 0.2500 0.7500 0.5000  4 H 1.89
H 0.6250 0.8750 0.7500  2 H 1.66
H 0.1250 0.8750 0.7500  2 H 1.66
H 0.1250 0.8750 0.2500  2 H 1.66
H 0.1250 0.3750 0.2500  2 H 1.66
P 0.5000 0.5000 0.0000  4 Ru 2.35, 8 H 2.52
P 0.7500 0.2500 0.5000  4 Ru 2.35, 8 H 2.52

---

Record 4
## BeCr2Ir (GGA-PBEsol)

Data for BeCr2Ir after structural relaxation.

Output
E = -8.598 eV/atom
Theoretical density = 11.27 g/cm3
D(E_F) = 0.938 states/eV/atom

a b c (Å): 2.6488 2.6488 6.4096
angles (deg): 90.00 90.00 90.00
Closest atoms and distances in Å follow each position.
Fractional positions:
Cr 0.0000 0.0000 0.9763  4 Be 2.39, 8 Cr 2.60-2.65
Cr 0.5000 0.5000 0.2566  4 Ir 2.53, 8 Cr 2.60-2.65
Ir 0.0000 0.0000 0.5212  4 Be 2.36, 4 Cr 2.53
Be 0.5000 0.5000 0.7459  4 Ir 2.36, 4 Cr 2.39

---

Record 5
## TaNi2Ru (GGA-PBEsol)

Data for TaNi2Ru after structural relaxation.

Output
E = -9.089 eV/atom
Theoretical density = 13.04 g/cm3
Relative energy among the computed polymorphs = 0.000 eV/atom
D(E_F) = 1.111 states/eV/atom

a b c (Å): 3.6732 3.6732 3.7694
angles (deg): 90.00 90.00 90.00
Closest atoms and distances in Å follow each position.
Fractional positions:
Ru 0.5000 0.5000 0.5000  4 Ta 2.60, 8 Ni 2.63
Ni 0.0000 0.5000 0.0000  4 Ni 2.60, 4 Ta 2.63, 4 Ru 2.63
Ni 0.5000 0.0000 0.0000  4 Ni 2.60, 4 Ru 2.63, 4 Ta 2.63
Ta 0.0000 0.0000 0.5000  4 Ru 2.60, 8 Ni 2.63

---

Record 6
## LiCr3Tc (GGA-PBEsol)

Data for LiCr3Tc after structural relaxation.

Output
E = -7.447 eV/atom
Theoretical density = 4.45 g/cm3
D(E_F) = 0.626 states/eV/atom

a b c (Å): 4.5992 4.5992 4.5992
angles (deg): 90.00 90.00 90.00
Closest atoms and distances in Å follow each position.
Fractional positions:
Cr 0.0000 0.5000 0.0000  2 Tc 2.30
Cr 0.0000 0.0000 0.5000  2 Tc 2.30
Cr 0.5000 0.0000 0.0000  2 Tc 2.30
Tc 0.0000 0.0000 0.0000  6 Cr 2.30
Li 0.5000 0.5000 0.5000  12 Cr 3.25